1.
This record from Alexandria describes Cd6GaHg12 after structural relaxation. The functional is GGA-PBE.

Calculated values
* E_form: 1.18 kcal/mol of atoms
* E_tot: -0.5878 eV/atom
* excess energy over the best structure of this formula in the dataset: 10 meV per atom
* magnetic moment: 0.0 μB/f.u.

The structure in CIF format:
```
data_Cd6GaHg12
_chemical_formula_sum 'Cd6 Ga1 Hg12'
_space_group_name_H-M_alt 'P 1'
_space_group_IT_number 1
_space_group_name_Hall 'P 1'
_cell_length_a 7.881
_cell_length_b 7.881
_cell_length_c 7.881
_cell_angle_alpha 88.73
_cell_angle_beta 88.73
_cell_angle_gamma 88.73
loop_
_atom_site_label
_atom_site_fract_x
_atom_site_fract_y
_atom_site_fract_z
Hg1 0.402 0.115 0.115
Cd1 0.232 0.791 0.791
Cd2 0.209 0.209 0.768
Hg2 0.487 0.487 0.807
Hg3 0.115 0.115 0.402
Hg4 0.807 0.487 0.487
Hg5 0.487 0.807 0.487
Ga1 0.000 0.000 0.000
Hg6 0.513 0.513 0.193
Hg7 0.598 0.885 0.885
Hg8 0.885 0.885 0.598
Cd3 0.209 0.768 0.209
Cd4 0.768 0.209 0.209
Hg9 0.513 0.193 0.513
Cd5 0.791 0.791 0.232
Cd6 0.791 0.232 0.791
Hg10 0.885 0.598 0.885
Hg11 0.115 0.402 0.115
Hg12 0.193 0.513 0.513
```



2.
This record from Alexandria describes Cd12GaHg4 after structural relaxation. The functional is GGA-PBE.

Calculated values
* E_form: 3.90 kcal/mol of atoms
* E_tot: -0.7259 eV/atom
* magnetic moment: 0.0 μB/f.u.

The structure in CIF format:
```
data_Cd12GaHg4
_chemical_formula_sum 'Cd12 Ga1 Hg4'
_space_group_name_H-M_alt 'P 1'
_space_group_IT_number 1
_space_group_name_Hall 'P 1'
_cell_length_a 8.591
_cell_length_b 8.599
_cell_length_c 8.597
_cell_angle_alpha 109.48
_cell_angle_beta 109.44
_cell_angle_gamma 109.45
loop_
_atom_site_label
_atom_site_fract_x
_atom_site_fract_y
_atom_site_fract_z
Cd1 0.352 0.498 0.147
Cd2 0.146 0.351 0.498
Hg1 0.000 0.500 0.000
Hg2 0.000 0.000 0.500
Hg3 0.500 0.500 0.500
Hg4 0.500 0.000 0.000
Cd3 0.502 0.853 0.649
Cd4 0.854 0.649 0.502
Cd5 0.205 0.853 0.351
Ga1 0.000 0.000 0.000
Cd6 0.649 0.795 0.147
Cd7 0.498 0.147 0.351
Cd8 0.648 0.502 0.853
Cd9 0.147 0.649 0.795
Cd10 0.795 0.147 0.649
Cd11 0.853 0.351 0.205
Cd12 0.351 0.205 0.853
```



3.
This record from Alexandria describes Cd8GaHg2 after structural relaxation. The functional is GGA-PBE.

Calculated values
* E_form: 1.60 kcal/mol of atoms
* E_tot: -0.9263 eV/atom
* excess energy over the best structure of this formula in the dataset: 24 meV per atom
* magnetic moment: 0.0 μB/f.u.

The structure in CIF format:
```
data_Cd8GaHg2
_chemical_formula_sum 'Cd8 Ga1 Hg2'
_space_group_name_H-M_alt 'P 1'
_space_group_IT_number 1
_space_group_name_Hall 'P 1'
_cell_length_a 5.421
_cell_length_b 7.609
_cell_length_c 7.880
_cell_angle_alpha 61.13
_cell_angle_beta 79.49
_cell_angle_gamma 67.81
loop_
_atom_site_label
_atom_site_fract_x
_atom_site_fract_y
_atom_site_fract_z
Ga1 0.500 0.000 0.000
Cd1 0.177 0.901 0.779
Cd2 0.294 0.402 0.000
Cd3 0.706 0.598 0.000
Cd4 0.823 0.099 0.221
Cd5 0.500 0.787 0.426
Cd6 0.177 0.680 0.221
Cd7 0.823 0.320 0.779
Hg1 0.000 0.697 0.606
Cd8 0.500 0.213 0.574
Hg2 0.000 0.303 0.394
```



4.
This record from Alexandria describes CdGaHg6 after structural relaxation. The functional is GGA-PBE.

Calculated values
* E_form: 1.06 kcal/mol of atoms
* E_tot: -0.6730 eV/atom
* magnetic moment: 0.0 μB/f.u.

The structure in CIF format:
```
data_CdGaHg6
_chemical_formula_sum 'Cd1 Ga1 Hg6'
_space_group_name_H-M_alt 'P 1'
_space_group_IT_number 1
_space_group_name_Hall 'P 1'
_cell_length_a 4.468
_cell_length_b 4.468
_cell_length_c 10.181
_cell_angle_alpha 90.00
_cell_angle_beta 90.00
_cell_angle_gamma 90.00
loop_
_atom_site_label
_atom_site_fract_x
_atom_site_fract_y
_atom_site_fract_z
Hg1 0.000 0.500 0.251
Hg2 0.500 0.500 0.500
Ga1 0.000 0.000 0.500
Hg3 0.500 0.000 0.749
Hg4 0.500 0.500 0.000
Hg5 0.000 0.500 0.749
Cd1 0.000 0.000 0.000
Hg6 0.500 0.000 0.251
```



5.
This record from Alexandria describes Cd4GaHg after structural relaxation. The functional is GGA-PBE.

Calculated values
* E_form: 2.18 kcal/mol of atoms
* E_tot: -1.0704 eV/atom
* excess energy over the best structure of this formula in the dataset: 59 meV per atom
* magnetic moment: 0.0 μB/f.u.

The structure in CIF format:
```
data_Cd4GaHg
_chemical_formula_sum 'Cd4 Ga1 Hg1'
_space_group_name_H-M_alt 'P 1'
_space_group_IT_number 1
_space_group_name_Hall 'P 1'
_cell_length_a 5.890
_cell_length_b 5.890
_cell_length_c 5.890
_cell_angle_alpha 60.00
_cell_angle_beta 60.00
_cell_angle_gamma 60.00
loop_
_atom_site_label
_atom_site_fract_x
_atom_site_fract_y
_atom_site_fract_z
Cd1 0.625 0.625 0.125
Cd2 0.625 0.125 0.625
Hg1 0.000 0.000 0.000
Cd3 0.625 0.625 0.625
Ga1 0.250 0.250 0.250
Cd4 0.125 0.625 0.625
```



6.
This record from Alexandria describes Cd2GaHg after structural relaxation. The functional is GGA-PBE.

Calculated values
* E_form: 1.19 kcal/mol of atoms
* E_tot: -1.2381 eV/atom
* excess energy over the best structure of this formula in the dataset: 13 meV per atom
* magnetic moment: 0.0 μB/f.u.

The structure in CIF format:
```
data_Cd2GaHg
_chemical_formula_sum 'Cd2 Ga1 Hg1'
_space_group_name_H-M_alt 'P 1'
_space_group_IT_number 1
_space_group_name_Hall 'P 1'
_cell_length_a 4.037
_cell_length_b 4.762
_cell_length_c 4.762
_cell_angle_alpha 90.00
_cell_angle_beta 90.00
_cell_angle_gamma 90.00
loop_
_atom_site_label
_atom_site_fract_x
_atom_site_fract_y
_atom_site_fract_z
Hg1 0.500 0.500 0.500
Ga1 0.500 0.000 0.000
Cd1 0.000 0.000 0.500
Cd2 0.000 0.500 0.000
```